A geometry-optimized TlCd2InRh structure, computed with PBE-GGA.

Computed properties:
V = 140.96 Å³/cell
D(E_F) = 0.53 states/eV/atom
ρ = 7.6 g/cm3
formation enthalpy at 0 K = 0.002 eV/atom

Lattice parameters (Å, degrees): 5.2487 5.2487 5.1169 90.00 90.00 90.00
Closest atoms and distances in Å follow each position.
Element x y z (fractional)
Tl 0.0000 0.0000 0.0000  8 Cd 3.67, 4 In 3.71
Cd 0.0000 0.5000 0.5000  2 Rh 2.62
Cd 0.5000 0.0000 0.5000  2 Rh 2.62
In 0.5000 0.5000 0.0000  2 Rh 2.56
Rh 0.5000 0.5000 0.5000  2 In 2.56, 4 Cd 2.62